Entry 1:
A relaxed structure of PmTmTc4, computed with PBE.

Unit cell a=5.423 b=5.423 c=5.423 alpha=60.00 beta=60.00 gamma=60.00
Atoms (fractional coordinates):
1 Pm 0.000 0.000 0.000
2 Tm 0.250 0.250 0.250
3 Tc 0.125 0.625 0.625
4 Tc 0.625 0.125 0.625
5 Tc 0.625 0.625 0.125
6 Tc 0.625 0.625 0.625

Calculated values
Calculated density = 10.4 g cm⁻³

Entry 2:
A relaxed structure of PmTm2Tc, computed with PBE.

Unit cell a=4.809 b=4.809 c=15.179 alpha=90.00 beta=90.00 gamma=120.00
Atoms (fractional coordinates):
1 Pm 0.000 0.000 0.000
2 Pm 0.333 0.667 0.667
3 Pm 0.667 0.333 0.333
4 Tm 0.000 0.000 0.226
5 Tm 0.000 0.000 0.774
6 Tm 0.333 0.667 0.441
7 Tm 0.333 0.667 0.892
8 Tm 0.667 0.333 0.108
9 Tm 0.667 0.333 0.559
10 Tc 0.000 0.000 0.500
11 Tc 0.333 0.667 0.167
12 Tc 0.667 0.333 0.833

Calculated values
Calculated density = 9.5 g cm⁻³
Energy above the most stable polymorph in this dataset = 264 meV per atom

Entry 3:
A relaxed structure of PmTmTc, computed with PBE.

Unit cell a=3.484 b=3.484 c=12.560 alpha=90.00 beta=90.00 gamma=90.00
Atoms (fractional coordinates):
1 Pm 0.000 0.000 0.000
2 Pm 0.500 0.500 0.500
3 Tm 0.000 0.000 0.260
4 Tm 0.500 0.500 0.760
5 Tc 0.000 0.000 0.636
6 Tc 0.500 0.500 0.136

Calculated values
Calculated density = 9.0 g cm⁻³
Energy above the most stable polymorph in this dataset = 0 meV per atom

Entry 4:
A relaxed structure of Pm2TmTc, computed with PBE.

Unit cell a=3.424 b=3.424 c=32.705 alpha=90.00 beta=90.00 gamma=120.00
Atoms (fractional coordinates):
1 Pm 0.000 0.000 0.077
2 Pm 0.000 0.000 0.923
3 Pm 0.333 0.667 0.589
4 Pm 0.333 0.667 0.744
5 Pm 0.667 0.333 0.256
6 Pm 0.667 0.333 0.411
7 Tm 0.000 0.000 0.500
8 Tm 0.333 0.667 0.167
9 Tm 0.667 0.333 0.833
10 Tc 0.000 0.000 0.000
11 Tc 0.333 0.667 0.667
12 Tc 0.667 0.333 0.333

Calculated values
Calculated density = 8.4 g cm⁻³
Energy above the most stable polymorph in this dataset = 685 meV per atom

Entry 5:
A relaxed structure of Pm2Tm8Tc, computed with PBE.

Unit cell a=9.435 b=9.435 c=6.631 alpha=93.67 beta=93.67 gamma=33.12
Atoms (fractional coordinates):
1 Pm 0.225 0.225 0.167
2 Pm 0.775 0.775 0.833
3 Tm 0.031 0.031 0.268
4 Tm 0.161 0.161 0.664
5 Tm 0.358 0.358 0.615
6 Tm 0.419 0.419 0.120
7 Tm 0.581 0.581 0.880
8 Tm 0.642 0.642 0.385
9 Tm 0.839 0.839 0.336
10 Tm 0.969 0.969 0.732
11 Tc 0.500 0.500 0.500

Calculated values
Calculated density = 9.0 g cm⁻³

Entry 6:
A relaxed structure of PmTmTc, computed with PBE.

Unit cell a=6.109 b=9.057 c=5.783 alpha=90.00 beta=101.00 gamma=90.00
Atoms (fractional coordinates):
1 Pm 0.163 0.164 0.108
2 Pm 0.163 0.336 0.608
3 Pm 0.837 0.664 0.392
4 Pm 0.837 0.836 0.892
5 Tm 0.287 0.598 0.068
6 Tm 0.287 0.902 0.568
7 Tm 0.713 0.098 0.432
8 Tm 0.713 0.402 0.932
9 Tc 0.466 0.608 0.605
10 Tc 0.466 0.892 0.105
11 Tc 0.534 0.108 0.895
12 Tc 0.534 0.392 0.395

Calculated values
Calculated density = 8.7 g cm⁻³
Energy above the most stable polymorph in this dataset = 113 meV per atom

Entry 7:
A relaxed structure of PmTm2Tc, computed with PBE.

Unit cell a=7.497 b=9.034 c=6.276 alpha=90.00 beta=90.00 gamma=90.00
Atoms (fractional coordinates):
1 Pm 0.041 0.250 0.124
2 Pm 0.459 0.750 0.624
3 Pm 0.541 0.250 0.376
4 Pm 0.959 0.750 0.876
5 Tm 0.175 0.064 0.655
6 Tm 0.175 0.436 0.655
7 Tm 0.325 0.564 0.155
8 Tm 0.325 0.936 0.155
9 Tm 0.675 0.064 0.845
10 Tm 0.675 0.436 0.845
11 Tm 0.825 0.564 0.345
12 Tm 0.825 0.936 0.345
13 Tc 0.117 0.750 0.452
14 Tc 0.383 0.250 0.952
15 Tc 0.617 0.750 0.048
16 Tc 0.883 0.250 0.548

Calculated values
Calculated density = 9.1 g cm⁻³
Energy above the most stable polymorph in this dataset = 0 meV per atom

Entry 8:
A relaxed structure of PmTmZnTc, computed with PBE.

Unit cell a=7.009 b=7.009 c=7.009 alpha=90.00 beta=90.00 gamma=90.00
Atoms (fractional coordinates):
1 Pm 0.000 0.000 0.000
2 Pm 0.000 0.500 0.500
3 Pm 0.500 0.000 0.500
4 Pm 0.500 0.500 0.000
5 Tm 0.000 0.000 0.500
6 Tm 0.000 0.500 0.000
7 Tm 0.500 0.000 0.000
8 Tm 0.500 0.500 0.500
9 Zn 0.250 0.250 0.250
10 Zn 0.250 0.750 0.750
11 Zn 0.750 0.250 0.750
12 Zn 0.750 0.750 0.250
13 Tc 0.250 0.250 0.750
14 Tc 0.250 0.750 0.250
15 Tc 0.750 0.250 0.250
16 Tc 0.750 0.750 0.750

Calculated values
Calculated density = 9.2 g cm⁻³

Entry 9:
A relaxed structure of Pm5UTc4, computed with PBE.

Unit cell a=8.897 b=8.897 c=7.235 alpha=109.51 beta=109.51 gamma=28.70
Atoms (fractional coordinates):
1 Pm 0.000 0.000 0.000
2 Pm 0.324 0.324 0.946
3 Pm 0.334 0.334 0.467
4 Pm 0.666 0.666 0.533
5 Pm 0.676 0.676 0.054
6 U 0.000 0.000 0.500
7 Tc 0.136 0.136 0.770
8 Tc 0.485 0.485 0.291
9 Tc 0.515 0.515 0.709
10 Tc 0.864 0.864 0.230

Calculated values
Calculated density = 8.7 g cm⁻³

Entry 10:
A relaxed structure of PmUTc2, computed with PBE.

Unit cell a=8.622 b=3.769 c=10.981 alpha=90.00 beta=90.00 gamma=90.00
Atoms (fractional coordinates):
1 Pm 0.113 0.250 0.129
2 Pm 0.387 0.750 0.629
3 Pm 0.613 0.250 0.371
4 Pm 0.887 0.750 0.871
5 U 0.046 0.250 0.622
6 U 0.454 0.750 0.122
7 U 0.546 0.250 0.878
8 U 0.954 0.750 0.378
9 Tc 0.167 0.250 0.803
10 Tc 0.183 0.250 0.441
11 Tc 0.317 0.750 0.941
12 Tc 0.333 0.750 0.303
13 Tc 0.667 0.250 0.697
14 Tc 0.683 0.250 0.059
15 Tc 0.817 0.750 0.559
16 Tc 0.833 0.750 0.197

Calculated values
Calculated density = 10.8 g cm⁻³
Energy above the most stable polymorph in this dataset = 9 meV per atom

Entry 11:
A relaxed structure of PmUTc2, computed with PBE.

Unit cell a=6.864 b=6.864 c=6.864 alpha=90.00 beta=90.00 gamma=90.00
Atoms (fractional coordinates):
1 Pm 0.000 0.000 0.000
2 Pm 0.000 0.500 0.500
3 Pm 0.500 0.000 0.500
4 Pm 0.500 0.500 0.000
5 U 0.000 0.000 0.500
6 U 0.000 0.500 0.000
7 U 0.500 0.000 0.000
8 U 0.500 0.500 0.500
9 Tc 0.250 0.250 0.250
10 Tc 0.250 0.250 0.750
11 Tc 0.250 0.750 0.250
12 Tc 0.250 0.750 0.750
13 Tc 0.750 0.250 0.250
14 Tc 0.750 0.250 0.750
15 Tc 0.750 0.750 0.250
16 Tc 0.750 0.750 0.750

Calculated values
Calculated density = 11.9 g cm⁻³
Energy above the most stable polymorph in this dataset = 271 meV per atom

Entry 12:
A relaxed structure of PmUTc2, computed with PBE.

Unit cell a=4.873 b=4.873 c=3.399 alpha=90.00 beta=90.00 gamma=90.00
Atoms (fractional coordinates):
1 Pm 0.000 0.000 0.000
2 U 0.500 0.500 0.000
3 Tc 0.000 0.500 0.500
4 Tc 0.500 0.000 0.500

Calculated values
Calculated density = 11.9 g cm⁻³
Energy above the most stable polymorph in this dataset = 266 meV per atom

| no. | ΔH_f (0 K) (eV per atom) |
| --- | --- |
| 1 | -0.085 |
| 2 | 0.164 |
| 3 | -0.002 |
| 4 | 0.647 |
| 5 | 0.009 |
| 6 | 0.111 |
| 7 | -0.100 |
| 8 | -0.108 |
| 9 | 0.023 |
| 10 | -0.060 |
| 11 | 0.203 |
| 12 | 0.198 |